Record 1
Entry from Alexandria: ThHI2 after structural relaxation (PBE).

Computed properties:
- SG: Cm, No. 8

Structure (POSCAR):
```
ThHI2
1.0
-2.148 -3.366 -0.573
1.393 -2.893 -2.443
3.784 -5.676 5.728
H I Th
1 2 1
Direct
0.458 0.458 0.625
0.209 0.209 0.357
0.041 0.041 0.893
0.792 0.792 0.625
```

=====

Record 2
Entry from Alexandria: Th2H2I after structural relaxation (PBE).

Computed properties:
- SG: I4_1md, No. 109

Structure (POSCAR):
```
Th2H2I
1.0
6.469 0.000 0.000
0.000 6.469 0.000
-3.234 -3.234 5.516
Th H I
4 4 2
Direct
0.453 0.203 0.907
0.453 0.704 0.907
0.453 0.203 0.407
0.954 0.203 0.407
0.667 0.422 0.334
0.667 0.912 0.334
0.672 0.417 0.834
0.162 0.417 0.834
0.190 0.690 0.379
0.940 0.940 0.879
```

=====

Record 3
Entry from Alexandria: ThHI2 after structural relaxation (PBE).

Computed properties:
- SG: C2/m, No. 12

Structure (POSCAR):
```
ThHI2
1.0
3.906 -0.004 -0.001
-0.004 4.467 0.000
-1.949 -2.231 8.457
Th I H
1 2 1
Direct
0.500 0.009 0.000
0.146 0.154 0.291
0.854 0.863 0.709
0.500 0.509 0.000
```

=====

Record 4
Entry from Alexandria: TiH3I after structural relaxation (PBE).

Computed properties:
- SG: Pm-3m, No. 221
- Energy relative to the lowest polymorph listed for this composition: 0 meV/atom

Structure (POSCAR):
```
TiH3I
1.0
-1.514 -3.245 1.392
1.271 -1.914 -3.080
3.295 -0.753 1.828
H I Ti
3 1 1
Direct
0.000 0.000 0.500
0.000 0.500 0.000
0.500 0.000 0.000
0.500 0.500 0.500
0.000 0.000 0.000
```

=====

Number 1: VASP energy -17.60 eV per cell. Number 2: VASP energy -47.16 eV per cell. Number 3: VASP energy -16.78 eV per cell. Number 4: VASP energy -18.25 eV per cell.